No. 1
Compound: Sr2AgIr
Source: Alexandria via LeMat-Bulk
Functional: PBE
Structure: optimized geometry

Cell and atoms, written as extended XYZ:
```
4
Lattice="-0.1284 -0.9033 -4.3176 4.2468 -1.1933 0.1233 -1.6738 -5.8257 1.2686" Properties=species:S:1:pos:R:3 pbc="T T T"
Ag -0.6997 -2.4353 0.5303
Ir 0.6536 -5.9405 -1.0318
Sr -1.5064 -5.2429 1.1417
Sr 1.4864 -3.0420 -1.6630
```

Properties
The value obtained for the formation energy is 0.146 eV per atom. As for the space-group type: P4mm, No. 99. The total magnetization is 0.2 μB per formula unit.


No. 2
Compound: RbZrNbMo2
Source: Alexandria via LeMat-Bulk
Functional: PBE
Structure: optimized geometry

Cell and atoms, written as extended XYZ:
```
5
Lattice="4.7018 0.0000 0.0000 0.0000 4.8473 0.0000 0.0000 0.0000 4.7018" Properties=species:S:1:pos:R:3 pbc="T T T"
Rb 0.0000 0.0000 0.0000
Mo 0.0000 0.0000 2.3509
Mo 2.3509 0.0000 0.0000
Nb 2.3509 2.4236 2.3509
Zr 0.0000 2.4236 0.0000
```

Properties
The value obtained for the formation energy is 2.804 eV per atom. As for the space-group type: P4/mmm, No. 123. The total magnetization is 0.0 μB per formula unit.


No. 3
Compound: MnAl3Ni
Source: Alexandria via LeMat-Bulk
Functional: PBE
Structure: optimized geometry

Cell and atoms, written as extended XYZ:
```
5
Lattice="-3.2216 -2.7922 -1.2444 -0.5394 -1.2603 4.2243 -3.0090 3.2154 0.5750" Properties=species:S:1:pos:R:3 pbc="T T T"
Ni -3.3850 -0.4186 1.7774
Mn 0.0000 0.0000 0.0000
Al -0.2697 -0.6301 2.1121
Al -1.5045 1.6077 0.2875
Al -1.6108 -1.3961 -0.6222
```

Properties
The value obtained for the formation energy is 0.574 eV per atom. The energy above the most stable polymorph in this dataset is 885 meV per atom. As for the space-group type: Pm-3m, No. 221. The total magnetization is 0.2 μB per formula unit.


No. 4
Compound: FeNi
Source: Alexandria via LeMat-Bulk
Functional: PBE
Structure: optimized geometry

Cell and atoms, written as extended XYZ:
```
16
Lattice="-3.6906 4.8010 -4.5909 2.5632 -3.8159 -6.0511 -2.7362 -2.0035 0.1044" Properties=species:S:1:pos:R:3 pbc="T T T"
Fe -0.3822 0.3339 -3.6076
Fe 0.4431 -0.8948 -5.5561
Fe -1.5706 1.8798 -5.0859
Fe -0.7452 0.6511 -7.0343
Fe -2.3140 -0.1753 -8.8764
Fe -4.0518 2.4119 -4.7738
Fe 0.1882 -3.4303 -5.7638
Fe -1.5496 -0.8432 -1.6611
Ni -1.2262 1.5951 -1.5253
Ni -2.4644 3.2058 -3.0656
Ni 1.7116 -2.5481 -4.0406
Ni 0.8516 -1.2678 -2.0105
Ni -3.1580 1.0859 -6.7941
Ni -0.7056 -2.1044 -3.7434
Ni -2.7834 0.7586 -3.2583
Ni -1.0802 -1.7771 -7.2792
```

Properties
The value obtained for the formation energy is 0.237 eV per atom. As for the space-group type: I4/mmm, No. 139. The total magnetization is 3.3 μB per formula unit.


Number 1: E_tot -3.623 eV/atom, density 6.545 g cm⁻³. Number 2: E_tot -5.446 eV/atom, density 7.151 g cm⁻³. Number 3: E_tot -4.662 eV/atom, density 3.689 g cm⁻³. Number 4: E_tot -6.885 eV/atom, density 7.766 g cm⁻³.